Pr5Dy4Cd4: optimized geometry, PBE-GGA.

Cell: 9.137 9.137 9.137 Å, 94.74 94.74 146.59°
Fractional positions:
1 Pr 0.000 0.000 0.000
2 Pr 0.314 0.610 0.925
3 Pr 0.390 0.314 0.704
4 Pr 0.610 0.686 0.296
5 Pr 0.686 0.390 0.075
6 Dy 0.097 0.396 0.493
7 Dy 0.396 0.903 0.299
8 Dy 0.604 0.097 0.701
9 Dy 0.903 0.604 0.507
10 Cd 0.098 0.758 0.856
11 Cd 0.242 0.098 0.339
12 Cd 0.758 0.902 0.661
13 Cd 0.902 0.242 0.144

Summary:
- D(E_F) (states/eV/cell) = 12.41
- calculated formation energy (eV/atom) = -0.17
- magnetic moment (μB per formula unit) = 0.0